A relaxed structure of Pr5DyPb5. Source: Alexandria, functional PBE.

abc: 6.444 8.088 8.738
angles: 106.02 90.00 113.48
Positions (direct):
Pr 0.670 0.340 0.333
Pr 0.330 0.660 0.667
Pr 0.336 0.671 0.173
Pb 0.500 0.000 0.000
Pb 0.837 0.674 0.162
Pr 0.000 0.000 0.500
Pb 0.163 0.325 0.330
Dy 0.000 0.000 0.000
Pb 0.837 0.675 0.670
Pr 0.664 0.329 0.827
Pb 0.163 0.326 0.838

Properties
formation enthalpy at 0 K: -329 meV per atom